Record 1
A plane-wave DFT calculation with PBE with a Hubbard U was carried out for a relaxed SmCo3Cu4O12 crystal.

Cell lengths 7.3479, 7.3479, 7.3479 Å; angles 90.00, 90.00, 90.00 degrees
Closest atoms and distances in Å follow each position.
Space group Im-3 (No. 204)
One atom of each set of equivalent atoms:
Sm (0.0000, 0.0000, 0.0000) [2 per cell]  12 O 2.61
Co (0.0000, 0.0000, 0.5000) [6 per cell]  4 O 1.88
Cu (0.2500, 0.2500, 0.2500) [8 per cell]  6 O 1.97
O (0.0000, 0.3104, 0.1720) [24 per cell]  1 Co 1.88, 2 Cu 1.97

## Properties
total moment: 0.307 μB/atom
electronic total energy: -5.760 eV/atom
N(E_F): 6.28 states/eV/f.u.

***

Record 2
A plane-wave DFT calculation with PBE with a Hubbard U was carried out for a relaxed Sr2CoCu2O6 crystal.

Cell lengths 5.6791, 5.6791, 15.4275 Å; angles 90.00, 90.00, 120.00 degrees
Closest atoms and distances in Å follow each position.
Space group R-3m (No. 166, hexagonal axes)
One atom of each set of equivalent atoms:
Sr (0.0000, 0.0000, 0.2161) [6 per cell]  3 O 2.55
Co (0.0000, 0.0000, 0.0000) [3 per cell]  6 O 1.92
Cu (0.0000, 0.0000, 0.4101) [6 per cell]  3 O 1.82
O (0.0364, 0.5182, 0.7471) [18 per cell]  1 Cu 1.82, 1 Co 1.92

## Properties
total moment: 0.277 μB/atom
electronic total energy: -5.554 eV/atom
N(E_F): 3.51 states/eV/f.u.

***

Record 3
A plane-wave DFT calculation with PBE with a Hubbard U was carried out for a relaxed SrCoCuO4 crystal.

Cell lengths 5.5869, 5.5869, 6.5180 Å; angles 90.00, 90.00, 90.00 degrees
Closest atoms and distances in Å follow each position.
Space group I-4 (No. 82)
One atom of each set of equivalent atoms:
Sr (0.0000, 0.0000, 0.0000) [2 per cell]  8 O 2.64-2.70
Co (0.0000, 0.5000, 0.7500) [2 per cell]  4 O 1.79
Cu (0.0000, 0.0000, 0.5000) [2 per cell]  4 O 1.94
O (0.1588, 0.2391, 0.6671) [8 per cell]  1 Co 1.79, 1 Cu 1.94

## Properties
total moment: 0.577 μB/atom
electronic total energy: -5.640 eV/atom
N(E_F): 3.77 states/eV/f.u.

***

Record 4
A plane-wave DFT calculation with PBE with a Hubbard U was carried out for a relaxed Sr2CoCu2O7 crystal.

Cell lengths 24.9750, 5.1826, 5.1551 Å; angles 90.00, 90.00, 90.00 degrees
Closest atoms and distances in Å follow each position.
Space group Ima2 (No. 46)
One atom of each set of equivalent atoms:
Sr (0.1492, 0.0022, 0.0000) [8 per cell]  9 O 2.56-2.77
Co (0.2500, 0.5678, 0.0457) [4 per cell]  4 O 1.75-1.90
Cu (0.0606, 0.5005, 0.0011) [8 per cell]  4 O 1.87
O (0.0768, 0.2504, 0.2516) [8 per cell]  2 Cu 1.87
O (0.0773, 0.7503, 0.2507) [8 per cell]  2 Cu 1.87
O (0.1824, 0.0076, 0.4980) [8 per cell]  1 Co 1.75
O (0.2500, 0.5930, 0.4131) [4 per cell]  2 Co 1.89-1.90

## Properties
total moment: 0.268 μB/atom
electronic total energy: -5.544 eV/atom
N(E_F): 4.58 states/eV/f.u.

***

Record 5
A plane-wave DFT calculation with PBE with a Hubbard U was carried out for a relaxed TaCoCu2O6 crystal.

Cell lengths 5.0720, 5.0720, 13.9910 Å; angles 90.00, 90.00, 120.00 degrees
Closest atoms and distances in Å follow each position.
Space group R3 (No. 146, hexagonal axes)
One atom of each set of equivalent atoms:
Ta (0.0000, 0.0000, 0.0000) [3 per cell]  3 O 1.92
Co (0.0000, 0.0000, 0.5149) [3 per cell]  6 O 1.93-1.96
Cu (0.0000, 0.0000, 0.2035) [3 per cell]  6 O 2.04-2.08
Cu (0.0000, 0.0000, 0.7596) [3 per cell]  3 O 1.93
O (0.0066, 0.3815, 0.7723) [9 per cell]  2 Cu 1.93-2.08, 1 Co 1.93, 1 Ta 2.15
O (0.0096, 0.6402, 0.2643) [9 per cell]  1 Ta 1.92, 1 Co 1.96, 1 Cu 2.04

## Properties
total moment: 0.206 μB/atom
electronic total energy: -6.795 eV/atom
N(E_F): 3.28 states/eV/f.u.

***

Record 6
A plane-wave DFT calculation with PBE with a Hubbard U was carried out for a relaxed TbCo4Cu3O12 crystal.

Cell lengths 7.2785, 7.2785, 7.2785 Å; angles 90.00, 90.00, 90.00 degrees
Closest atoms and distances in Å follow each position.
Space group Im-3 (No. 204)
One atom of each set of equivalent atoms:
Tb (0.0000, 0.0000, 0.0000) [2 per cell]  12 O 2.55
Co (0.2500, 0.2500, 0.2500) [8 per cell]  6 O 1.95
Cu (0.0000, 0.0000, 0.5000) [6 per cell]  4 O 1.89
O (0.0000, 0.3053, 0.1711) [24 per cell]  1 Cu 1.89, 2 Co 1.95

## Properties
total moment: 0.400 μB/atom
electronic total energy: -5.944 eV/atom
N(E_F): 2.90 states/eV/f.u.

***

Record 7
A plane-wave DFT calculation with PBE with a Hubbard U was carried out for a relaxed CoCuTc2O8 crystal.

Cell lengths 6.1287, 6.1287, 8.5686 Å; angles 90.00, 90.00, 90.00 degrees
Closest atoms and distances in Å follow each position.
Space group I-4m2 (No. 119)
One atom of each set of equivalent atoms:
Co (0.0000, 0.0000, 0.0000) [2 per cell]  4 O 1.96
Cu (0.0000, 0.5000, 0.7500) [2 per cell]  4 O 1.98
Tc (0.0000, 0.0000, 0.5000) [2 per cell]  4 O 1.76
Tc (0.0000, 0.5000, 0.2500) [2 per cell]  4 O 1.78
O (0.0000, 0.2347, 0.6187) [8 per cell]  1 Tc 1.76
O (0.0000, 0.2624, 0.1300) [8 per cell]  1 Tc 1.78, 1 Co 1.96

## Properties
total moment: 0.161 μB/atom
electronic total energy: -6.905 eV/atom
N(E_F): 2.99 states/eV/f.u.

***

Record 8
A plane-wave DFT calculation with PBE with a Hubbard U was carried out for a relaxed CoCuTeO6 crystal.

Cell lengths 4.5407, 4.5407, 9.0389 Å; angles 90.00, 90.00, 90.00 degrees
Closest atoms and distances in Å follow each position.
Space group P4_2nm (No. 102)
One atom of each set of equivalent atoms:
Co (0.0000, 0.0000, 0.0000) [2 per cell]  6 O 1.91-1.92
Cu (0.0000, 0.0000, 0.3323) [2 per cell]  6 O 1.98-2.00
Te (0.0000, 0.0000, 0.6663) [2 per cell]  6 O 1.96-1.97
O (0.1893, 0.1893, 0.8364) [4 per cell]  1 Co 1.91, 1 Te 1.96, 1 Cu 2.00
O (0.1928, 0.1928, 0.1615) [4 per cell]  1 Co 1.91, 1 Te 1.97, 1 Cu 1.98
O (0.2004, 0.2004, 0.5022) [4 per cell]  1 Co 1.92, 1 Te 1.96, 1 Cu 2.00

## Properties
total moment: 0.223 μB/atom
electronic total energy: -5.397 eV/atom
N(E_F): 4.51 states/eV/f.u.

***

Record 9
A plane-wave DFT calculation with PBE with a Hubbard U was carried out for a relaxed CoCuTeO4 crystal.

Cell lengths 5.9193, 6.4738, 8.7345 Å; angles 90.00, 90.00, 90.00 degrees
Closest atoms and distances in Å follow each position.
Space group Imma (No. 74)
One atom of each set of equivalent atoms:
Co (0.2500, 0.2500, 0.2500) [4 per cell]  6 O 2.00
Cu (0.0000, 0.2500, 0.6573) [4 per cell]  4 O 2.07-2.14
Te (0.0000, 0.0000, 0.0000) [4 per cell]  6 O 2.19-2.21
O (0.0000, 0.0433, 0.2488) [8 per cell]  2 Co 2.00, 1 Cu 2.07, 1 Te 2.19
O (0.2484, 0.2500, 0.4788) [8 per cell]  1 Co 2.00, 1 Cu 2.14, 2 Te 2.21

## Properties
total moment: 0.001 μB/atom
electronic total energy: -5.223 eV/atom
N(E_F): 2.63 states/eV/f.u.

***

Record 10
A plane-wave DFT calculation with PBE with a Hubbard U was carried out for a relaxed Co3Cu3Te2O16 crystal.

Cell lengths 10.0564, 5.7428, 9.1330 Å; angles 90.00, 92.15, 90.00 degrees
Closest atoms and distances in Å follow each position.
Space group Cm (No. 8)
One atom of each set of equivalent atoms:
Co (0.0000, 0.0000, 0.0000) [2 per cell]  6 O 1.83-1.97
Co (0.0844, 0.2536, 0.5009) [4 per cell]  6 O 1.86-1.97
Cu (0.2525, 0.2520, 0.0010) [4 per cell]  6 O 1.90-2.12
Cu (0.3363, 0.0000, 0.5016) [2 per cell]  6 O 1.90-2.03
Te (0.0033, 0.5000, 0.2262) [2 per cell]  6 O 1.94-2.03
Te (0.3424, 0.5000, 0.7216) [2 per cell]  6 O 1.94-2.04
O (0.0074, 0.0000, 0.6150) [2 per cell]  1 Te 1.96, 2 Co 1.97
O (0.0070, 0.5000, 0.5992) [2 per cell]  2 Co 1.86, 1 Cu 1.91
O (0.0843, 0.2453, 0.1233) [4 per cell]  1 Te 1.94, 1 Co 1.97, 1 Cu 2.06
O (0.1519, 0.5000, 0.3815) [2 per cell]  2 Co 1.93, 1 Te 2.02
O (0.1615, 0.0000, 0.9081) [2 per cell]  1 Co 1.86, 2 Cu 1.90
O (0.1640, 0.0000, 0.4078) [2 per cell]  2 Co 1.88, 1 Cu 1.90
O (0.1920, 0.5000, 0.8652) [2 per cell]  2 Cu 1.97, 1 Te 2.04
O (0.2511, 0.2449, 0.6219) [4 per cell]  1 Te 1.94, 1 Co 1.97, 1 Cu 2.00
O (0.3324, 0.0000, 0.1204) [2 per cell]  1 Te 1.94, 2 Cu 1.97
O (0.3440, 0.5000, 0.0979) [2 per cell]  1 Co 1.83, 2 Cu 1.90
O (0.4219, 0.2781, 0.8704) [4 per cell]  1 Co 1.89, 1 Te 2.01
O (0.4319, 0.2296, 0.3726) [4 per cell]  1 Co 1.90, 1 Te 2.03, 1 Cu 2.03

## Properties
total moment: 0.062 μB/atom
electronic total energy: -5.351 eV/atom
N(E_F): 6.70 states/eV/f.u.

***

Record 11
A plane-wave DFT calculation with PBE with a Hubbard U was carried out for a relaxed Co2CuTeO8 crystal.

Cell lengths 6.4722, 6.4722, 6.4747 Å; angles 90.00, 90.00, 90.00 degrees
Closest atoms and distances in Å follow each position.
Space group I-4m2 (No. 119)
One atom of each set of equivalent atoms:
Co (0.0000, 0.0000, 0.0000) [2 per cell]  4 O 1.81
Co (0.0000, 0.5000, 0.2500) [2 per cell]  4 O 1.74
Cu (0.0000, 0.0000, 0.5000) [2 per cell]  4 O 2.07
Te (0.0000, 0.5000, 0.7500) [2 per cell]  4 O 1.96
O (0.0000, 0.2032, 0.8086) [8 per cell]  1 Co 1.81, 1 Te 1.96
O (0.0000, 0.3142, 0.4441) [8 per cell]  1 Co 1.74

## Properties
total moment: 0.587 μB/atom
electronic total energy: -5.225 eV/atom
N(E_F): 3.15 states/eV/f.u.

***

Record 12
A plane-wave DFT calculation with PBE with a Hubbard U was carried out for a relaxed Co2CuTeO6 crystal.

Cell lengths 5.1110, 5.1200, 5.4998 Å; angles 101.90, 103.02, 119.29 degrees
Closest atoms and distances in Å follow each position.
Space group P1 (No. 1)
One atom of each set of equivalent atoms:
Co (0.0000, 0.0000, 0.0000) [1 per cell]  4 O 1.97-2.08
Co (0.4870, 0.1560, 0.6276) [1 per cell]  6 O 1.91-1.99
Cu (0.5988, 0.6106, 0.2378) [1 per cell]  3 O 1.98-2.00
Te (0.1448, 0.4942, 0.6235) [1 per cell]  6 O 1.94-2.04
O (0.0895, 0.0938, 0.3982) [1 per cell]  2 Co 1.97-2.03, 1 Te 2.01
O (0.2788, 0.9266, 0.8415) [1 per cell]  2 Co 1.95-1.97, 1 Te 1.96
O (0.3599, 0.7350, 0.4165) [1 per cell]  1 Co 1.92, 1 Te 1.96, 1 Cu 1.98
O (0.5573, 0.5575, 0.8573) [1 per cell]  2 Co 1.99-2.08, 1 Cu 2.00, 1 Te 2.04
O (0.7077, 0.3580, 0.4152) [1 per cell]  1 Co 1.91, 1 Te 1.94, 1 Cu 1.98
O (0.9142, 0.2769, 0.8392) [1 per cell]  2 Co 1.93-1.98, 1 Te 1.98

## Properties
total moment: 0.307 μB/atom
electronic total energy: -5.610 eV/atom

***

Record 13
A plane-wave DFT calculation with PBE with a Hubbard U was carried out for a relaxed ThCo4Cu3O12 crystal.

Cell lengths 7.3673, 7.3673, 7.3673 Å; angles 90.00, 90.00, 90.00 degrees
Closest atoms and distances in Å follow each position.
Space group Im-3 (No. 204)
One atom of each set of equivalent atoms:
Th (0.0000, 0.0000, 0.0000) [2 per cell]  12 O 2.58
Co (0.2500, 0.2500, 0.2500) [8 per cell]  6 O 1.98
Cu (0.0000, 0.0000, 0.5000) [6 per cell]  4 O 1.90
O (0.0000, 0.1696, 0.3057) [24 per cell]  1 Cu 1.90, 2 Co 1.98

## Properties
total moment: 0.450 μB/atom
electronic total energy: -6.191 eV/atom
N(E_F): 4.92 states/eV/f.u.

***

Record 14
A plane-wave DFT calculation with PBE with a Hubbard U was carried out for a relaxed Tl2CoCuO4 crystal.

Cell lengths 5.4654, 12.0249, 20.9774 Å; angles 90.00, 90.00, 90.00 degrees
Closest atoms and distances in Å follow each position.
Space group Fddd (No. 70, origin choice 2)
One atom of each set of equivalent atoms:
Tl (0.1250, 0.1250, 0.2973) [16 per cell]  2 O 2.44
Co (0.1250, 0.1250, 0.6250) [8 per cell]  4 O 1.83
Cu (0.1250, 0.1250, 0.1250) [8 per cell]  4 O 1.85
O (0.1234, 0.2726, 0.8729) [32 per cell]  1 Co 1.83, 1 Cu 1.85

## Properties
total moment: 0.249 μB/atom
electronic total energy: -4.898 eV/atom

***

Record 15
A plane-wave DFT calculation with PBE with a Hubbard U was carried out for a relaxed UCo2CuO6 crystal.

Cell lengths 5.2138, 5.2356, 5.5855 Å; angles 63.00, 85.19, 61.98 degrees
Closest atoms and distances in Å follow each position.
Space group P1 (No. 1)
One atom of each set of equivalent atoms:
U (0.0000, 0.0000, 0.0000) [1 per cell]  4 O 1.98-2.13
Co (0.2624, 0.5464, 0.6155) [1 per cell]  4 O 1.97-2.09
Co (0.6709, 0.6378, 0.0495) [1 per cell]  5 O 1.97-2.17
Cu (0.4952, 0.0129, 0.4757) [1 per cell]  4 O 1.93-2.06
O (0.0546, 0.5589, 0.2581) [1 per cell]  1 U 1.98, 1 Co 2.17
O (0.2907, 0.8159, 0.7579) [1 per cell]  1 Co 1.97, 1 Cu 1.99, 1 U 2.13
O (0.3994, 0.8166, 0.2772) [1 per cell]  2 Co 2.01-2.09, 1 Cu 2.04, 1 U 2.23
O (0.6078, 0.0870, 0.7738) [1 per cell]  2 Co 2.02, 1 Cu 2.06, 1 U 2.24
O (0.7266, 0.1897, 0.2398) [1 per cell]  1 Cu 1.93, 1 Co 1.97, 1 U 2.09
O (0.9405, 0.4649, 0.8063) [1 per cell]  2 Co 2.02-2.06, 1 U 2.04

## Properties
total moment: 0.500 μB/atom
electronic total energy: -7.165 eV/atom
N(E_F): 0.43 states/eV/f.u.

***

Record 16
A plane-wave DFT calculation with PBE with a Hubbard U was carried out for a relaxed V2CoCuO6 crystal.

Cell lengths 9.3491, 9.9347, 5.7459 Å; angles 90.00, 115.32, 90.00 degrees
Closest atoms and distances in Å follow each position.
Space group C2/c (No. 15)
One atom of each set of equivalent atoms:
V (0.1531, 0.0924, 0.2045) [8 per cell]  4 O 1.76-1.89
Co (0.0000, 0.4181, 0.2500) [4 per cell]  6 O 2.09-2.20
Cu (0.0000, 0.2838, 0.7500) [4 per cell]  4 O 1.92-2.14
O (0.1115, 0.0565, 0.4795) [8 per cell]  2 V 1.82-1.89
O (0.1137, 0.2622, 0.1157) [8 per cell]  1 V 1.76, 1 Cu 1.92
O (0.1328, 0.4299, 0.6495) [8 per cell]  1 V 1.82

## Properties
total moment: 0.400 μB/atom
electronic total energy: -6.808 eV/atom
N(E_F): 2.40 states/eV/f.u.

***

Record 17
A plane-wave DFT calculation with PBE with a Hubbard U was carried out for a relaxed VCoCu2O6 crystal.

Cell lengths 5.0039, 5.0039, 13.5891 Å; angles 90.00, 90.00, 120.00 degrees
Closest atoms and distances in Å follow each position.
Space group R3 (No. 146, hexagonal axes)
One atom of each set of equivalent atoms:
V (0.0000, 0.0000, 0.0000) [3 per cell]  3 O 1.79
Co (0.0000, 0.0000, 0.4823) [3 per cell]  6 O 1.91-1.98
Cu (0.0000, 0.0000, 0.2422) [3 per cell]  3 O 1.91
Cu (0.0000, 0.0000, 0.7913) [3 per cell]  6 O 2.03-2.04
O (0.0008, 0.6310, 0.7283) [9 per cell]  1 V 1.79, 1 Co 1.98
O (0.0509, 0.3450, 0.5574) [9 per cell]  1 Co 1.91, 2 Cu 1.91-2.03, 1 V 2.13

## Properties
total moment: 0.207 μB/atom
electronic total energy: -6.001 eV/atom
N(E_F): 4.26 states/eV/f.u.

***

Record 18
A plane-wave DFT calculation with PBE with a Hubbard U was carried out for a relaxed Co2CuWO8 crystal.

Cell lengths 6.4941, 6.4941, 6.3907 Å; angles 90.00, 90.00, 90.00 degrees
Closest atoms and distances in Å follow each position.
Space group I-4m2 (No. 119)
One atom of each set of equivalent atoms:
Co (0.0000, 0.0000, 0.0000) [2 per cell]  4 O 1.76
Co (0.0000, 0.5000, 0.2500) [2 per cell]  4 O 1.80
Cu (0.0000, 0.5000, 0.7500) [2 per cell]  4 O 2.08
W (0.0000, 0.0000, 0.5000) [2 per cell]  4 O 1.93
O (0.0000, 0.1834, 0.7966) [8 per cell]  1 Co 1.76
O (0.0000, 0.2890, 0.4318) [8 per cell]  1 Co 1.80, 1 W 1.93

## Properties
total moment: 0.586 μB/atom
electronic total energy: -5.970 eV/atom
N(E_F): 2.37 states/eV/f.u.